DFT (PBEsol) results for an optimized crystal structure of BaIr2Pt.

The structure in POSCAR format:
```
BaIr2Pt
1.0
-1.1486 4.2698 1.6722
-3.6158 2.3854 -1.8927
-3.9955 0.5789 2.4591
Ir Ba Pt
2 1 1
Direct
0.2500 0.2500 0.2500
0.7500 0.7500 0.7500
0.0000 0.0000 0.0000
0.5000 0.5000 0.5000
```

For the energy of formation, the calculation gives 0.93 eV/atom.

---

DFT (PBEsol) results for an optimized crystal structure of BaIr2Pt.

The structure in POSCAR format:
```
BaIr2Pt
1.0
-3.2427 1.1233 -2.4556
0.7754 -3.2884 -2.5283
-1.3246 -1.2852 4.7869
Ir Ba Pt
2 1 1
Direct
0.7500 0.2500 0.5000
0.2500 0.7500 0.5000
0.0000 0.0000 0.0000
0.5000 0.5000 0.0000
```

For the energy of formation, the calculation gives 0.79 eV/atom.

---

DFT (PBEsol) results for an optimized crystal structure of BaIr2Pt.

The structure in POSCAR format:
```
BaIr2Pt
1.0
-1.4816 0.0918 -2.4739
-1.7762 -4.6215 1.0391
-2.3251 4.3342 3.1623
Ir Ba Pt
2 1 1
Direct
0.5000 0.5000 0.5000
0.0000 0.0000 0.5000
0.5000 0.0000 0.0000
0.0000 0.5000 0.0000
```

For the energy of formation, the calculation gives 0.67 eV/atom.